Density functional theory data (PBE-GGA) for a relaxed BaTeBr4 crystal.

## Properties
* DFT total energy: -2.334 eV per atom
* SG: F-43m (216)
* E_form (uncorrected): -0.375 eV/atom
* DOS at the Fermi energy: 0.95 states/eV per atom

a b c (Å): 6.5052 6.5052 6.5052
angles (deg): 60.00 60.00 60.00
Positions (direct):
Ba1 0.0000 0.0000 0.0000
Te1 0.2500 0.2500 0.2500
Br1 0.1253 0.6249 0.6249
Br2 0.6249 0.1253 0.6249
Br3 0.6249 0.6249 0.1253
Br4 0.6249 0.6249 0.6249